The following is a DFT calculation (GGA-PBE) of a relaxed structure of Ac12Sm3Ho. Values from VASP.

Values from the calculation:
Energy of formation, eV/atom: 0.031
V, Å³ per atom: 41.75

Geometry as Quantum ESPRESSO input:
```
&SYSTEM
  ibrav = 0, nat = 16, ntyp = 3
/
ATOMIC_SPECIES
Ac 227.00 Ac.upf
Sm 150.36 Sm.upf
Ho 164.93 Ho.upf
CELL_PARAMETERS angstrom
5.511 0.000 0.000
0.000 5.511 0.000
0.000 0.000 21.993
ATOMIC_POSITIONS crystal
Ac 0.000 0.000 0.000
Ac 0.000 0.000 0.249
Ac 0.000 0.000 0.500
Ac 0.000 0.000 0.751
Ac 0.000 0.500 0.124
Ac 0.000 0.500 0.374
Ac 0.000 0.500 0.626
Ac 0.000 0.500 0.876
Ac 0.500 0.000 0.124
Ac 0.500 0.000 0.374
Ac 0.500 0.000 0.626
Ac 0.500 0.000 0.876
Sm 0.500 0.500 0.249
Sm 0.500 0.500 0.500
Sm 0.500 0.500 0.751
Ho 0.500 0.500 0.000
```

---

The following is a DFT calculation (GGA-PBE) of a relaxed structure of Li12Sn3Se5. Values from VASP.

Values from the calculation:
V, Å³ per atom: 23.51
Uncorrected formation energy, eV/atom: -0.57

Geometry as Quantum ESPRESSO input:
```
&SYSTEM
  ibrav = 0, nat = 80, ntyp = 3
/
ATOMIC_SPECIES
Li 6.94 Li.upf
Sn 118.71 Sn.upf
Se 78.96 Se.upf
CELL_PARAMETERS angstrom
-7.776 7.776 7.776
7.776 -7.776 7.776
7.776 7.776 -7.776
ATOMIC_POSITIONS crystal
Li 0.015 0.198 0.078
Li 0.015 0.317 0.937
Li 0.063 0.578 0.380
Li 0.063 0.985 0.683
Li 0.078 0.015 0.198
Li 0.078 0.563 0.880
Li 0.120 0.698 0.683
Li 0.120 0.922 0.437
Li 0.183 0.198 0.620
Li 0.183 0.485 0.563
Li 0.198 0.078 0.015
Li 0.198 0.620 0.183
Li 0.302 0.317 0.880
Li 0.302 0.485 0.422
Li 0.317 0.880 0.302
Li 0.317 0.937 0.015
Li 0.380 0.063 0.578
Li 0.380 0.817 0.802
Li 0.422 0.302 0.485
Li 0.422 0.620 0.937
Li 0.437 0.120 0.922
Li 0.437 0.817 0.515
Li 0.485 0.422 0.302
Li 0.485 0.563 0.183
Li 0.515 0.437 0.817
Li 0.515 0.578 0.698
Li 0.563 0.183 0.485
Li 0.563 0.880 0.078
Li 0.578 0.380 0.063
Li 0.578 0.698 0.515
Li 0.620 0.183 0.198
Li 0.620 0.937 0.422
Li 0.683 0.063 0.985
Li 0.683 0.120 0.698
Li 0.698 0.515 0.578
Li 0.698 0.683 0.120
Li 0.802 0.380 0.817
Li 0.802 0.922 0.985
Li 0.817 0.515 0.437
Li 0.817 0.802 0.380
Li 0.880 0.078 0.563
Li 0.880 0.302 0.317
Li 0.922 0.437 0.120
Li 0.922 0.985 0.802
Li 0.937 0.015 0.317
Li 0.937 0.422 0.620
Li 0.985 0.683 0.063
Li 0.985 0.802 0.922
Sn 0.125 0.250 0.375
Sn 0.125 0.375 0.750
Sn 0.250 0.375 0.125
Sn 0.250 0.875 0.625
Sn 0.375 0.125 0.250
Sn 0.375 0.750 0.125
Sn 0.625 0.250 0.875
Sn 0.625 0.875 0.750
Sn 0.750 0.125 0.375
Sn 0.750 0.625 0.875
Sn 0.875 0.625 0.250
Sn 0.875 0.750 0.625
Se 0.000 0.000 0.000
Se 0.000 0.000 0.500
Se 0.000 0.500 0.000
Se 0.000 0.500 0.500
Se 0.125 0.750 0.875
Se 0.125 0.875 0.250
Se 0.250 0.125 0.875
Se 0.250 0.625 0.375
Se 0.375 0.250 0.625
Se 0.375 0.625 0.750
Se 0.500 0.000 0.000
Se 0.500 0.000 0.500
Se 0.500 0.500 0.000
Se 0.500 0.500 0.500
Se 0.625 0.375 0.250
Se 0.625 0.750 0.375
Se 0.750 0.375 0.625
Se 0.750 0.875 0.125
Se 0.875 0.125 0.750
Se 0.875 0.250 0.125
```

---

The following is a DFT calculation (GGA-PBE) of a relaxed structure of TbPm3Er7. Values from VASP.

Values from the calculation:
Energy of formation, eV/atom: 0.274
V, Å³ per atom: 32.72

Geometry as Quantum ESPRESSO input:
```
&SYSTEM
  ibrav = 0, nat = 11, ntyp = 3
/
ATOMIC_SPECIES
Tb 158.93 Tb.upf
Pm 145.00 Pm.upf
Er 167.26 Er.upf
CELL_PARAMETERS angstrom
-2.900 5.560 5.580
2.900 -5.560 5.580
2.900 5.560 -5.580
ATOMIC_POSITIONS crystal
Tb 0.000 0.000 0.000
Pm 0.288 0.788 0.500
Pm 0.500 0.500 0.000
Pm 0.712 0.212 0.500
Er 0.000 0.500 0.500
Er 0.097 0.305 0.792
Er 0.294 0.000 0.294
Er 0.487 0.695 0.792
Er 0.513 0.305 0.208
Er 0.706 0.000 0.706
Er 0.903 0.695 0.208
```

---

The following is a DFT calculation (GGA-PBE) of a relaxed structure of Cs2CI6N. Values from VASP.

Values from the calculation:
V, Å³ per atom: 35.49
Uncorrected formation energy, eV/atom: 0.33

Geometry as Quantum ESPRESSO input:
```
&SYSTEM
  ibrav = 0, nat = 10, ntyp = 4
/
ATOMIC_SPECIES
Cs 132.91 Cs.upf
C 12.01 C.upf
I 126.90 I.upf
N 14.01 N.upf
CELL_PARAMETERS angstrom
-3.681 3.681 6.548
3.681 -3.681 6.548
3.681 3.681 -6.548
ATOMIC_POSITIONS crystal
Cs 0.250 0.750 0.500
Cs 0.750 0.250 0.500
C 0.000 0.000 0.000
I 0.239 0.239 0.479
I 0.239 0.761 0.000
I 0.305 0.305 0.000
I 0.695 0.695 0.000
I 0.761 0.239 0.000
I 0.761 0.761 0.521
N 0.500 0.500 0.000
```

---

The following is a DFT calculation (GGA-PBE) of a relaxed structure of CuTc2Br. Values from VASP.

Values from the calculation:
V, Å³ per atom: 16.20
Uncorrected formation energy, eV/atom: 0.78

Geometry as Quantum ESPRESSO input:
```
&SYSTEM
  ibrav = 0, nat = 4, ntyp = 3
/
ATOMIC_SPECIES
Cu 63.55 Cu.upf
Tc 98.00 Tc.upf
Br 79.90 Br.upf
CELL_PARAMETERS angstrom
4.177 -1.484 0.000
4.177 1.484 0.000
-1.274 0.000 5.225
ATOMIC_POSITIONS crystal
Cu 0.000 0.000 0.000
Tc 0.247 0.247 0.803
Tc 0.753 0.753 0.197
Br 0.500 0.500 0.500
```

---

The following is a DFT calculation (GGA-PBE) of a relaxed structure of CaSm4Pd2. Values from VASP.

Values from the calculation:
Energy of formation, eV/atom: -0.389
V, Å³ per atom: 28.87

Geometry as Quantum ESPRESSO input:
```
&SYSTEM
  ibrav = 0, nat = 14, ntyp = 3
/
ATOMIC_SPECIES
Ca 40.08 Ca.upf
Sm 150.36 Sm.upf
Pd 106.42 Pd.upf
CELL_PARAMETERS angstrom
8.025 0.000 0.000
0.000 6.574 0.000
-3.050 0.000 7.659
ATOMIC_POSITIONS crystal
Ca 0.156 0.250 0.020
Ca 0.844 0.750 0.980
Sm 0.021 0.250 0.390
Sm 0.248 0.750 0.344
Sm 0.404 0.003 0.762
Sm 0.404 0.497 0.762
Sm 0.596 0.503 0.238
Sm 0.596 0.997 0.238
Sm 0.752 0.250 0.656
Sm 0.979 0.750 0.610
Pd 0.273 0.750 0.997
Pd 0.383 0.250 0.419
Pd 0.617 0.750 0.581
Pd 0.727 0.250 0.003
```

---

The following is a DFT calculation (GGA-PBE) of a relaxed structure of SrTeSe2. Values from VASP.

Values from the calculation:
V, Å³ per atom: 28.08
Uncorrected formation energy, eV/atom: -0.86

Geometry as Quantum ESPRESSO input:
```
&SYSTEM
  ibrav = 0, nat = 4, ntyp = 3
/
ATOMIC_SPECIES
Sr 87.62 Sr.upf
Te 127.60 Te.upf
Se 78.96 Se.upf
CELL_PARAMETERS angstrom
-2.193 2.832 4.520
2.193 -2.832 4.520
2.193 2.832 -4.520
ATOMIC_POSITIONS crystal
Sr 0.000 0.000 0.000
Te 0.500 0.500 0.000
Se 0.301 0.801 0.500
Se 0.699 0.199 0.500
```

---

The following is a DFT calculation (GGA-PBE) of a relaxed structure of LaGdZnPd. Values from VASP.

Values from the calculation:
Energy of formation, eV/atom: -0.532
V, Å³ per atom: 24.31

Geometry as Quantum ESPRESSO input:
```
&SYSTEM
  ibrav = 0, nat = 4, ntyp = 4
/
ATOMIC_SPECIES
La 138.91 La.upf
Gd 157.25 Gd.upf
Zn 65.41 Zn.upf
Pd 106.42 Pd.upf
CELL_PARAMETERS angstrom
0.000 3.650 3.650
3.650 0.000 3.650
3.650 3.650 0.000
ATOMIC_POSITIONS crystal
La 0.000 0.000 0.000
Gd 0.500 0.500 0.500
Zn 0.750 0.750 0.750
Pd 0.250 0.250 0.250
```

---

| no. | density of states at the Fermi level (states/eV/atom) | energy (eV/atom) | size of the total moment (μB per formula unit) |
| --- | --- | --- | --- |
| 1 | 1.576 | -4.22 | 0.000 |
| 2 | 0.529 | -3.19 | 0.000 |
| 3 | 1.382 | -4.35 | 0.263 |
| 4 | 0.532 | -2.53 | 0.516 |
| 5 | 1.045 | -5.85 | 0.000 |
| 6 | 1.209 | -4.86 | 0.000 |
| 7 | 0.102 | -3.81 | 0.000 |
| 8 | 0.842 | -6.90 | 7.199 |